# 1
Density functional theory data (PBE) for an optimized crystal structure of Ce8SiTe4Se3.

abc: 8.6137 8.7788 8.6140
angles: 119.38 120.00 90.00
Site moments in Bohr magnetons follow the coordinates.
Atoms (fractional coordinates):
1 Ce 0.2389 0.7239 0.9851  0.81
2 Ce 0.2389 0.7240 0.4777  0.81
3 Ce 0.2580 0.2739 0.5159  0.91
4 Ce 0.7462 0.7239 0.9851  0.81
5 Ce 0.2538 0.2761 0.0149  0.81
6 Ce 0.7420 0.7261 0.4841  0.91
7 Ce 0.7611 0.2760 0.5223  0.81
8 Ce 0.7611 0.2761 0.0149  0.81
9 Si 0.0000 0.5000 0.0000  -0.03
10 Te 0.5000 0.0000 0.0000  -0.02
11 Te 0.5000 0.0000 0.5000  -0.02
12 Te 0.0000 0.0000 0.0000  -0.02
13 Te 0.0000 0.0000 0.5000  -0.02
14 Se 0.5000 0.5000 0.0000  -0.02
15 Se 0.5000 0.5000 0.5000  -0.02
16 Se 0.0000 0.5000 0.5000  -0.02

Output
SG = R-3m
uncorrected energy = -6.20 eV per atom
formation energy without anion corrections = -1.453 eV/atom


# 2
Density functional theory data (PBE) for an optimized crystal structure of Sm2Ho2Te7.

abc: 4.2782 9.6168 9.6168
angles: 61.80 77.15 77.15
Atoms (fractional coordinates):
1 Sm 0.7421 0.8550 0.6608
2 Sm 0.2579 0.3392 0.1450
3 Ho 0.0000 0.7690 0.2310
4 Ho 0.5000 0.3242 0.6758
5 Te 0.8253 0.0709 0.2785
6 Te 0.8589 0.4272 0.8550
7 Te 0.5000 0.0029 0.9971
8 Te 0.6077 0.4918 0.2927
9 Te 0.3923 0.7073 0.5082
10 Te 0.1747 0.7215 0.9291
11 Te 0.1411 0.1450 0.5728

Output
SG = Imm2
uncorrected energy = -4.91 eV per atom
formation energy without anion corrections = -1.221 eV/atom


# 3
Density functional theory data (PBE) for an optimized crystal structure of RbEr2Tm.

abc: 3.5699 3.5699 13.2339
angles: 82.25 82.25 60.00
Atoms (fractional coordinates):
1 Tm 0.5000 0.5000 0.5000
2 Rb 0.0000 0.0000 0.0000
3 Er 0.0963 0.0963 0.7110
4 Er 0.9037 0.9037 0.2890

Output
SG = R-3m
energy of formation from the pure elements = 317 meV per atom
uncorrected energy = -3.32 eV per atom


# 4
Density functional theory data (PBE) for an optimized crystal structure of TbPm6Sm3Ho2.

abc: 6.2714 6.2714 11.9539
angles: 95.01 95.01 119.99
Atoms (fractional coordinates):
1 Tb 0.0000 0.0000 0.0000
2 Pm 0.9171 0.5835 0.7526
3 Pm 0.7494 0.7494 0.2474
4 Pm 0.0829 0.4165 0.2474
5 Pm 0.5835 0.9171 0.7526
6 Pm 0.2506 0.2506 0.7526
7 Pm 0.4165 0.0829 0.2474
8 Sm 0.1668 0.8332 0.5000
9 Sm 0.8332 0.1668 0.5000
10 Sm 0.5000 0.5000 0.5000
11 Ho 0.3334 0.6666 0.0000
12 Ho 0.6666 0.3334 0.0000

Output
SG = C2/m
energy of formation from the pure elements = 13 meV per atom
uncorrected energy = -4.69 eV per atom